First-principles (PBE-GGA) data for a relaxed Pa3Au crystal, as listed in Alexandria via LeMat-Bulk.

For the density of states at the Fermi level, the calculation gives 15.03 states/eV/cell. Its total energy is -8.052 eV per atom. The energy above the most stable polymorph in this dataset comes out at 101.9 meV per atom. As for the calculated density: 15.60 Mg/m³. Its magnetic moment is 0.0 μB/f.u.

The structure belongs to space group Imm2 (No. 44); the cell edges are 3.213, 10.777 and 5.471 Å and the angles 90.00°, 90.00° and 90.00°. Symmetry generates all atoms from Pa at (0.000, 0.000, 0.000), Pa at (0.000, 0.226, 0.319) and Au at (0.000, 0.500, 0.025).